No. 1
Density functional theory data (GGA-PBE) for Pm3Co4B4 after structural relaxation.

a b c (Å): 3.404 4.035 11.376
angles (deg): 82.99 81.42 89.98
Space group P-1 (No. 2)
Asymmetric unit:
Pm  0.000  0.000  0.000 (multiplicity 1)
Pm  0.351  0.899  0.298 (multiplicity 2)
Co  0.216  0.632  0.568 (multiplicity 2)
Co  0.441  0.462  0.118 (multiplicity 2)
B  0.105  0.572  0.789 (multiplicity 2)
B  0.245  0.146  0.509 (multiplicity 2)

Calculated values
Total moment   0.000 μB per formula unit
DFT formation energy   -245 meV per atom
Raw total energy   -6.552 eV/atom

=====

No. 2
Density functional theory data (GGA-PBE) for Th6Sn2BiSb3 after structural relaxation.

a b c (Å): 19.757 4.531 9.060
angles (deg): 90.00 103.11 90.00
Space group C2/m (No. 12)
Asymmetric unit:
Th  0.002  0.000  0.258 (multiplicity 4)
Th  0.168  0.500  0.582 (multiplicity 4)
Th  0.170  0.500  0.087 (multiplicity 4)
Sn  0.166  0.000  0.332 (multiplicity 4)
Bi  0.000  0.500  0.000 (multiplicity 2)
Sb  0.000  0.500  0.500 (multiplicity 2)
Sb  0.164  0.000  0.833 (multiplicity 4)

Calculated values
ΔE_f (raw)   -0.724 eV per atom
Total moment   0.000 μB per formula unit
Raw total energy   -6.455 eV/atom

=====

No. 3
Density functional theory data (GGA-PBE) for Pm5TlHg6 after structural relaxation.

a b c (Å): 17.013 7.770 5.256
angles (deg): 90.00 107.76 90.00
Space group C2/m (No. 12)
Asymmetric unit:
Pm  0.000  0.000  0.000 (multiplicity 2)
Pm  0.141  0.500  0.641 (multiplicity 4)
Pm  0.179  0.000  0.679 (multiplicity 4)
Tl  0.000  0.500  0.000 (multiplicity 2)
Hg  0.000  0.220  0.500 (multiplicity 4)
Hg  0.173  0.235  0.173 (multiplicity 8)

Calculated values
Total moment   0.000 μB per formula unit
DFT formation energy   -432 meV per atom
Raw total energy   -2.760 eV/atom

=====

No. 4
Density functional theory data (GGA-PBE) for HoEr2TlN after structural relaxation.

a b c (Å): 4.767 4.767 4.791
angles (deg): 90.00 90.00 90.00
Space group P4/mmm (No. 123)
Asymmetric unit:
Ho  0.000  0.000  0.000 (multiplicity 1)
Er  0.000  0.500  0.500 (multiplicity 2)
Tl  0.500  0.500  0.000 (multiplicity 1)
N  0.000  0.000  0.500 (multiplicity 1)

Calculated values
ΔE_f (raw)   -0.951 eV per atom
Total moment   0.000 μB per formula unit
Raw total energy   -5.830 eV/atom

=====

No. 5
Density functional theory data (GGA-PBE) for HoTl3Os2O9 after structural relaxation.

a b c (Å): 5.7865 5.7865 7.1648
angles (deg): 90.00 90.00 120.00
Space group P-3m1 (No. 164)
Asymmetric unit:
Ho  0.0000  0.0000  0.0000 (multiplicity 1)
Tl  0.0000  0.0000  0.5000 (multiplicity 1)
Tl  0.3333  0.6667  0.1522 (multiplicity 2)
Os  0.3333  0.6667  0.6529 (multiplicity 2)
O  0.0000  0.5000  0.5000 (multiplicity 3)
O  0.1792  0.3584  0.8086 (multiplicity 6)

Calculated values
ΔE_f (raw)   -1.322 eV per atom
Total moment   0.000 μB per formula unit
Raw total energy   -6.573 eV/atom

=====

No. 6
Density functional theory data (GGA-PBE) for TbDyLuMg after structural relaxation.

a b c (Å): 7.724 7.724 7.724
angles (deg): 90.00 90.00 90.00
Space group F-43m (No. 216)
Asymmetric unit:
Tb  0.000  0.000  0.000 (multiplicity 4)
Dy  0.000  0.000  0.500 (multiplicity 4)
Lu  0.250  0.250  0.750 (multiplicity 4)
Mg  0.250  0.250  0.250 (multiplicity 4)

Calculated values
Total moment   0.001 μB per formula unit
DFT formation energy   26 meV per atom
Raw total energy   -3.811 eV/atom

=====

No. 7
Density functional theory data (GGA-PBE) for ZrAlIr2 after structural relaxation.

a b c (Å): 6.041 6.914 3.088
angles (deg): 90.00 90.00 90.00
Space group Cmmm (No. 65)
Asymmetric unit:
Zr  0.000  0.000  0.000 (multiplicity 2)
Al  0.000  0.500  0.000 (multiplicity 2)
Ir  0.250  0.250  0.500 (multiplicity 4)

Calculated values
Total moment   0.000 μB per formula unit
DFT formation energy   -794 meV per atom
Raw total energy   -8.297 eV/atom

=====

No. 8
Density functional theory data (GGA-PBE) for LiSm4S5 after structural relaxation.

a b c (Å): 3.9961 3.9961 48.2713
angles (deg): 90.00 90.00 120.00
Space group R-3m (No. 166, hexagonal axes)
Asymmetric unit:
Li  0.0000  0.0000  0.0000 (multiplicity 3)
Sm  0.0000  0.0000  0.2009 (multiplicity 6)
Sm  0.0000  0.0000  0.3972 (multiplicity 6)
S  0.0000  0.0000  0.0982 (multiplicity 6)
S  0.0000  0.0000  0.3021 (multiplicity 6)
S  0.0000  0.0000  0.5000 (multiplicity 3)

Calculated values
ΔE_f (raw)   -1.933 eV per atom
Total moment   0.000 μB per formula unit
E above lowest polymorph   0.019 eV/atom
Raw total energy   -6.076 eV/atom

=====

No. 9
Density functional theory data (GGA-PBE) for AcCdO4 after structural relaxation.

a b c (Å): 7.199 4.037 6.720
angles (deg): 90.00 95.23 90.00
Space group Cm (No. 8)
Asymmetric unit:
Ac  0.000  0.000  0.000 (multiplicity 2)
Cd  0.360  0.000  0.425 (multiplicity 2)
O  0.032  0.000  0.370 (multiplicity 2)
O  0.100  0.500  0.747 (multiplicity 2)
O  0.265  0.500  0.661 (multiplicity 2)
O  0.333  0.000  0.064 (multiplicity 2)

Calculated values
ΔE_f (raw)   -1.581 eV per atom
Total moment   1.005 μB per formula unit
Raw total energy   -5.724 eV/atom

=====

No. 10
Density functional theory data (GGA-PBE) for ScSnTeRu2 after structural relaxation.

a b c (Å): 4.768 4.768 5.393
angles (deg): 90.00 90.00 90.00
Space group P4/mmm (No. 123)
Asymmetric unit:
Sc  0.000  0.000  0.000 (multiplicity 1)
Sn  0.000  0.000  0.500 (multiplicity 1)
Te  0.500  0.500  0.500 (multiplicity 1)
Ru  0.000  0.500  0.000 (multiplicity 2)

Calculated values
ΔE_f (raw)   1.089 eV per atom
Total moment   2.573 μB per formula unit
Raw total energy   -5.317 eV/atom